The following is a DFT calculation (GGA-PBE) of a geometry-optimized Pr6Y2Er3 structure.

Unit cell a=17.584 b=17.584 c=17.584 alpha=164.44 beta=164.44 gamma=22.07
Sites, in units of the cell vectors:
Pr (0.120, 0.620, 0.500)
Pr (0.208, 0.208, 0.000)
Pr (0.380, 0.880, 0.500)
Pr (0.620, 0.120, 0.500)
Pr (0.792, 0.792, 0.000)
Pr (0.880, 0.380, 0.500)
Y (0.045, 0.045, 0.000)
Y (0.955, 0.955, 0.000)
Er (0.307, 0.307, 0.000)
Er (0.500, 0.500, 0.000)
Er (0.693, 0.693, 0.000)

Results
Offset from the most stable computed form ... 3.14 eV per formula unit
E_form ... 0.303 eV/atom
Uncorrected energy ... -4.724 eV/atom
DOS at the Fermi energy ... 16.36 states/eV/f.u.

=====

The following is a DFT calculation (GGA-PBE) of a geometry-optimized PrYEr2 structure.

Unit cell a=5.061 b=5.061 c=5.048 alpha=90.00 beta=90.00 gamma=90.00
Sites, in units of the cell vectors:
Pr (0.000, 0.000, 0.000)
Y (0.500, 0.500, 0.000)
Er (0.000, 0.500, 0.500)
Er (0.500, 0.000, 0.500)

Results
Offset from the most stable computed form ... 0.07 eV per formula unit
E_form ... 0.027 eV/atom
Uncorrected energy ... -5.066 eV/atom
DOS at the Fermi energy ... 6.03 states/eV/f.u.

=====

The following is a DFT calculation (GGA-PBE) of a geometry-optimized PrY8Er5 structure.

Unit cell a=8.449 b=8.449 c=8.449 alpha=111.57 beta=111.57 gamma=105.36
Sites, in units of the cell vectors:
Pr (0.000, 0.000, 0.000)
Y (0.089, 0.331, 0.413)
Y (0.280, 0.173, 0.750)
Y (0.324, 0.911, 0.242)
Y (0.423, 0.530, 0.250)
Y (0.470, 0.720, 0.893)
Y (0.669, 0.083, 0.758)
Y (0.827, 0.577, 0.107)
Y (0.917, 0.676, 0.587)
Er (0.032, 0.434, 0.822)
Er (0.250, 0.750, 0.500)
Er (0.566, 0.388, 0.598)
Er (0.612, 0.210, 0.178)
Er (0.790, 0.968, 0.402)

Results
E_form ... 0.245 eV/atom
Uncorrected energy ... -5.420 eV/atom
DOS at the Fermi energy ... 22.88 states/eV/f.u.

=====

The following is a DFT calculation (GGA-PBE) of a geometry-optimized Pr2Y2Er5 structure.

Unit cell a=10.105 b=10.105 c=10.105 alpha=84.69 beta=108.21 gamma=141.26
Sites, in units of the cell vectors:
Pr (0.000, 0.000, 0.000)
Pr (0.000, 0.500, 0.500)
Pr (0.084, 0.843, 0.741)
Pr (0.103, 0.343, 0.259)
Y (0.541, 0.672, 0.121)
Y (0.541, 0.920, 0.369)
Y (0.552, 0.172, 0.631)
Y (0.552, 0.420, 0.879)
Er (0.124, 0.032, 0.377)
Er (0.124, 0.248, 0.593)
Er (0.140, 0.639, 0.002)
Er (0.438, 0.144, 0.189)
Er (0.438, 0.750, 0.794)
Er (0.637, 0.139, 0.998)
Er (0.655, 0.532, 0.407)
Er (0.655, 0.748, 0.623)
Er (0.955, 0.250, 0.811)
Er (0.955, 0.644, 0.206)

Results
Offset from the most stable computed form ... 0.00 eV per formula unit
E_form ... 0.206 eV/atom
Uncorrected energy ... -4.828 eV/atom
DOS at the Fermi energy ... 13.85 states/eV/f.u.

=====

The following is a DFT calculation (GGA-PBE) of a geometry-optimized Pr4Y4Er5 structure.

Unit cell a=9.513 b=9.513 c=9.513 alpha=94.07 beta=94.07 gamma=149.11
Sites, in units of the cell vectors:
Pr (0.079, 0.382, 0.461)
Pr (0.382, 0.921, 0.304)
Pr (0.618, 0.079, 0.696)
Pr (0.921, 0.618, 0.539)
Y (0.152, 0.772, 0.924)
Y (0.228, 0.152, 0.381)
Y (0.772, 0.848, 0.619)
Y (0.848, 0.228, 0.076)
Er (0.000, 0.000, 0.000)
Er (0.312, 0.539, 0.850)
Er (0.461, 0.312, 0.773)
Er (0.539, 0.688, 0.227)
Er (0.688, 0.461, 0.150)

Results
E_form ... 0.024 eV/atom
Uncorrected energy ... -5.191 eV/atom
DOS at the Fermi energy ... 19.16 states/eV/f.u.

=====

The following is a DFT calculation (GGA-PBE) of a geometry-optimized PrY7Er4 structure.

Unit cell a=6.719 b=6.719 c=12.646 alpha=114.48 beta=114.48 gamma=51.86
Sites, in units of the cell vectors:
Pr (0.000, 0.000, 0.000)
Y (0.057, 0.057, 0.331)
Y (0.210, 0.210, 0.922)
Y (0.364, 0.364, 0.495)
Y (0.500, 0.500, 0.000)
Y (0.636, 0.636, 0.505)
Y (0.790, 0.790, 0.078)
Y (0.943, 0.943, 0.669)
Er (0.252, 0.252, 0.685)
Er (0.367, 0.367, 0.226)
Er (0.633, 0.633, 0.774)
Er (0.748, 0.748, 0.315)

Results
Offset from the most stable computed form ... 3.46 eV per formula unit
E_form ... 0.288 eV/atom
Uncorrected energy ... -5.402 eV/atom
DOS at the Fermi energy ... 22.18 states/eV/f.u.

=====

The following is a DFT calculation (GGA-PBE) of a geometry-optimized Pr2Y3Er6 structure.

Unit cell a=16.864 b=16.864 c=16.864 alpha=163.83 beta=163.83 gamma=22.95
Sites, in units of the cell vectors:
Pr (0.047, 0.047, 0.000)
Pr (0.953, 0.953, 0.000)
Y (0.296, 0.296, 0.000)
Y (0.500, 0.500, 0.000)
Y (0.704, 0.704, 0.000)
Er (0.122, 0.622, 0.500)
Er (0.193, 0.193, 0.000)
Er (0.378, 0.878, 0.500)
Er (0.622, 0.122, 0.500)
Er (0.807, 0.807, 0.000)
Er (0.878, 0.378, 0.500)

Results
Offset from the most stable computed form ... 0.78 eV per formula unit
E_form ... 0.259 eV/atom
Uncorrected energy ... -4.861 eV/atom
DOS at the Fermi energy ... 17.08 states/eV/f.u.

=====

The following is a DFT calculation (GGA-PBE) of a geometry-optimized Pr2Y5Er4 structure.

Unit cell a=12.084 b=12.084 c=8.764 alpha=96.16 beta=96.16 gamma=16.50
Sites, in units of the cell vectors:
Pr (0.093, 0.093, 0.242)
Pr (0.907, 0.907, 0.758)
Y (0.140, 0.140, 0.624)
Y (0.234, 0.234, 0.323)
Y (0.500, 0.500, 0.500)
Y (0.766, 0.766, 0.677)
Y (0.860, 0.860, 0.376)
Er (0.045, 0.045, 0.862)
Er (0.323, 0.323, 0.027)
Er (0.677, 0.677, 0.973)
Er (0.955, 0.955, 0.138)

Results
E_form ... 0.154 eV/atom
Uncorrected energy ... -5.312 eV/atom
DOS at the Fermi energy ... 22.29 states/eV/f.u.